# Be2Ru3W, optimized geometry, DFT PBE
# Space-group type: P4/mmm
# ΔE_f in eV per formula unit: -0.93
# Crystal system: tetragonal
data_Be2Ru3W
_chemical_formula_sum 'Be2 Ru3 W1'
_cell_length_a 2.927
_cell_length_b 2.927
_cell_length_c 8.709
_cell_angle_alpha 90.00
_cell_angle_beta 90.00
_cell_angle_gamma 90.00
_symmetry_space_group_name_H-M 'P 1'
_symmetry_Int_Tables_number 1
loop_
_symmetry_equiv_pos_as_xyz
'x,y,z'
loop_
_atom_site_label
_atom_site_fract_x
_atom_site_fract_y
_atom_site_fract_z
Be1 0.000 0.000 0.149
Be2 0.000 0.000 0.851
Ru1 0.500 0.500 0.000
Ru2 0.500 0.500 0.309
Ru3 0.500 0.500 0.691
W1 0.000 0.000 0.500

# La3RhO6, optimized geometry, DFT PBE
# Space-group type: R-3
# Crystal system: trigonal
# Formation energy without anion corrections in meV per atom: -2744
data_La3RhO6
_chemical_formula_sum 'La6 Rh2 O12'
_cell_length_a 6.850
_cell_length_b 6.850
_cell_length_c 6.850
_cell_angle_alpha 96.34
_cell_angle_beta 96.34
_cell_angle_gamma 96.34
_symmetry_space_group_name_H-M 'P 1'
_symmetry_Int_Tables_number 1
loop_
_symmetry_equiv_pos_as_xyz
'x,y,z'
loop_
_atom_site_label
_atom_site_fract_x
_atom_site_fract_y
_atom_site_fract_z
La1 0.086 0.598 0.771
La2 0.229 0.914 0.402
La3 0.402 0.229 0.914
La4 0.598 0.771 0.086
La5 0.771 0.086 0.598
La6 0.914 0.402 0.229
Rh1 0.000 0.000 0.000
Rh2 0.500 0.500 0.500
O1 0.067 0.292 0.933
O2 0.067 0.933 0.708
O3 0.199 0.562 0.439
O4 0.292 0.933 0.067
O5 0.438 0.561 0.801
O6 0.439 0.199 0.562
O7 0.561 0.801 0.438
O8 0.562 0.439 0.199
O9 0.708 0.067 0.933
O10 0.801 0.438 0.561
O11 0.933 0.067 0.292
O12 0.933 0.708 0.067

# TmZrCuPd, optimized geometry, DFT PBE
# Space-group type: F-43m
# ΔE_f in eV per formula unit: -1.72
# Crystal system: cubic
data_TmZrCuPd
_chemical_formula_sum 'Tm1 Zr1 Cu1 Pd1'
_cell_length_a 4.785
_cell_length_b 4.785
_cell_length_c 4.785
_cell_angle_alpha 60.00
_cell_angle_beta 60.00
_cell_angle_gamma 60.00
_symmetry_space_group_name_H-M 'P 1'
_symmetry_Int_Tables_number 1
loop_
_symmetry_equiv_pos_as_xyz
'x,y,z'
loop_
_atom_site_label
_atom_site_fract_x
_atom_site_fract_y
_atom_site_fract_z
Tm1 0.000 0.000 0.000
Zr1 0.500 0.500 0.500
Cu1 0.250 0.250 0.250
Pd1 0.750 0.750 0.750

# Ac4SiSe2N, optimized geometry, DFT PBE
# Space-group type: P2/m
# Crystal system: monoclinic
# Formation energy without anion corrections in meV per atom: -1309
data_Ac4SiSe2N
_chemical_formula_sum 'Ac4 Si1 Se2 N1'
_cell_length_a 7.483
_cell_length_b 4.337
_cell_length_c 7.757
_cell_angle_alpha 90.00
_cell_angle_beta 108.93
_cell_angle_gamma 90.00
_symmetry_space_group_name_H-M 'P 1'
_symmetry_Int_Tables_number 1
loop_
_symmetry_equiv_pos_as_xyz
'x,y,z'
loop_
_atom_site_label
_atom_site_fract_x
_atom_site_fract_y
_atom_site_fract_z
Ac1 0.224 0.000 0.215
Ac2 0.239 0.500 0.774
Ac3 0.761 0.500 0.226
Ac4 0.776 0.000 0.785
Si1 0.500 0.000 0.000
Se1 0.000 0.000 0.500
Se2 0.500 0.500 0.500
N1 0.000 0.500 0.000

| no. | total magnetization (μB/cell) | uncorrected energy (eV for the cell shown) |
| --- | --- | --- |
| 1 | 0.0 | -49.2 |
| 2 | 0.1 | -158.7 |
| 3 | 0.0 | -24.0 |
| 4 | 0.0 | -47.6 |